1.
Entry from Alexandria via LeMat-Bulk: a relaxed structure of IrRhO3 (PBE).

Computed properties:
* mass density: 9.74 g/cm3
* space-group type: Pm-3m

a = 3.8816 Å, b = 3.8816 Å, c = 3.8816 Å
α = 90.00°, β = 90.00°, γ = 90.00°
Positions (direct):
O: 0.5000 0.0000 0.0000
O: 0.0000 0.0000 0.5000
Ir: 0.5000 0.5000 0.5000
Rh: 0.0000 0.0000 0.0000
O: 0.0000 0.5000 0.0000

2.
Entry from Alexandria via LeMat-Bulk: a relaxed structure of Tm5Lu3Se12 (PBE).

Computed properties:
* mass density: 6.74 g/cm3
* space-group type: Ia-3d

a = 14.3648 Å, b = 14.3648 Å, c = 14.3648 Å
α = 109.47°, β = 109.47°, γ = 109.47°
Positions (direct):
Se: 0.3700 0.4204 0.0950
Se: 0.6746 0.2250 0.5950
Se: 0.4497 0.6746 0.0796
Lu: 0.8750 0.7500 0.1250
Tm: 0.3750 0.2500 0.1250
Se: 0.5503 0.3254 0.9204
Se: 0.0796 0.1746 0.4497
Se: 0.4497 0.7750 0.8700
Se: 0.2750 0.4050 0.8254
Se: 0.5503 0.2250 0.1300
Se: 0.9204 0.0950 0.8700
Se: 0.5950 0.7250 0.6746
Lu: 0.3750 0.7500 0.6250
Se: 0.4204 0.3700 0.5950
Tm: 0.5000 0.5000 0.5000
Se: 0.3700 0.9497 0.7750
Se: 0.5796 0.6300 0.4050
Se: 0.0950 0.9204 0.3700
Tm: 0.1250 0.7500 0.3750
Tm: 0.2500 0.8750 0.1250
Se: 0.7750 0.4497 0.3700
Se: 0.8254 0.9204 0.0503
Se: 0.9204 0.8254 0.5503
Se: 0.5796 0.9497 0.6746
Se: 0.2250 0.6746 0.0950
Se: 0.2750 0.8700 0.9497
Tm: 0.0000 0.5000 0.0000
Se: 0.6746 0.4497 0.5796
Lu: 0.7500 0.8750 0.6250
Se: 0.6300 0.0503 0.2250
Tm: 0.7500 0.1250 0.8750
Se: 0.7250 0.5950 0.1746
Se: 0.4050 0.1300 0.5796
Se: 0.1300 0.4050 0.0796
Se: 0.4204 0.0503 0.3254
Lu: 0.2500 0.6250 0.8750
Lu: 0.1250 0.2500 0.8750
Tm: 0.0000 0.0000 0.0000
Se: 0.7250 0.1300 0.0503
Se: 0.9050 0.0796 0.6300
Se: 0.9050 0.8254 0.7750
Se: 0.5950 0.8700 0.4204
Se: 0.9497 0.5796 0.1746
Se: 0.3254 0.7750 0.4050
Se: 0.8254 0.9050 0.2750
Tm: 0.6250 0.8750 0.2500
Tm: 0.7500 0.6250 0.3750
Tm: 0.8750 0.6250 0.7500
Se: 0.6300 0.5796 0.9050
Lu: 0.2500 0.1250 0.3750
Se: 0.1746 0.0796 0.9497
Se: 0.4050 0.2750 0.3254
Lu: 0.7500 0.3750 0.1250
Tm: 0.0000 0.0000 0.5000
Se: 0.7750 0.3254 0.9050
Se: 0.8700 0.5950 0.9204
Se: 0.8700 0.2750 0.4497
Lu: 0.6250 0.3750 0.7500
Tm: 0.5000 0.0000 0.0000
Tm: 0.0000 0.5000 0.5000
Se: 0.0950 0.1746 0.2250
Tm: 0.8750 0.2500 0.6250
Lu: 0.6250 0.2500 0.3750
Se: 0.1746 0.0950 0.7250
Se: 0.9497 0.3700 0.2750
Lu: 0.3750 0.6250 0.2500
Tm: 0.2500 0.3750 0.6250
Se: 0.0503 0.4204 0.8254
Se: 0.3254 0.5503 0.4204
Tm: 0.5000 0.5000 0.0000
Lu: 0.1250 0.8750 0.7500
Se: 0.0796 0.9050 0.1300
Se: 0.0503 0.6300 0.7250
Tm: 0.6250 0.7500 0.8750
Se: 0.2250 0.5503 0.6300
Lu: 0.8750 0.1250 0.2500
Tm: 0.5000 0.0000 0.5000
Tm: 0.1250 0.3750 0.2500
Tm: 0.3750 0.1250 0.7500
Se: 0.1300 0.7250 0.5503

3.
Entry from Alexandria via LeMat-Bulk: a relaxed structure of LiAc3N2 (PBE).

Computed properties:
* mass density: 6.73 g/cm3
* space-group type: C2/m

a = 4.2969 Å, b = 6.6553 Å, c = 13.4870 Å
α = 111.67°, β = 99.17°, γ = 90.00°
Positions (direct):
Li: 0.6528 0.9815 0.3057
N: 0.3006 0.6619 0.6011
Ac: 0.6048 0.3714 0.2096
N: 0.6994 0.3381 0.3989
N: 0.9442 0.7913 0.8884
Li: 0.3472 0.0185 0.6943
Ac: 0.7616 0.7371 0.5232
Ac: 0.3952 0.6286 0.7904
Ac: 0.0390 0.8219 0.0781
N: 0.0558 0.2087 0.1116
Ac: 0.2384 0.2629 0.4768
Ac: 0.9610 0.1781 0.9219

Number 1: M_tot 0.817 μB per atom, E_tot -27.78 eV per formula unit, formation energy without anion corrections 661 meV/atom. Number 2: M_tot 0.000 μB per atom, E_tot -109.43 eV per formula unit, formation energy without anion corrections -1585 meV/atom. Number 3: M_tot 0.000 μB per atom, E_tot -34.93 eV per formula unit, formation energy without anion corrections -674 meV/atom.